# Sr3Ca7 (PBE, relaxed)
data_Sr3Ca7
_chemical_formula_sum 'Sr6 Ca14'
_cell_length_a 7.4334
_cell_length_b 12.2723
_cell_length_c 12.2723
_cell_angle_alpha 120.00
_cell_angle_beta 90.00
_cell_angle_gamma 90.00
_symmetry_space_group_name_H-M 'P 1'
_symmetry_Int_Tables_number 1
loop_
_symmetry_equiv_pos_as_xyz
'x,y,z'
loop_
_atom_site_label
_atom_site_type_symbol
_atom_site_fract_x
_atom_site_fract_y
_atom_site_fract_z
Ca1 Ca 0.4162 0.1361 0.8639
Ca2 Ca 0.4146 0.3333 0.6667
Sr1 Sr 0.4162 0.7823 0.5647
Ca3 Ca 0.1654 0.5002 0.4998
Sr2 Sr 0.4162 0.7823 0.2177
Ca4 Ca 0.6654 0.0005 0.5002
Sr3 Sr 0.9162 0.2177 0.4353
Sr4 Sr 0.9162 0.2177 0.7823
Ca5 Ca 0.1654 0.5002 0.0005
Ca6 Ca 0.6654 0.4998 0.9995
Sr5 Sr 0.4162 0.4353 0.2177
Ca7 Ca 0.9162 0.2722 0.1361
Ca8 Ca 0.1654 0.9995 0.4998
Ca9 Ca 0.6654 0.4998 0.5002
Ca10 Ca 0.9162 0.8639 0.7278
Ca11 Ca 0.9162 0.8639 0.1361
Ca12 Ca 0.4162 0.7278 0.8639
Sr6 Sr 0.9162 0.5647 0.7823
Ca13 Ca 0.9146 0.6667 0.3333
Ca14 Ca 0.4162 0.1361 0.2722
# * formation energy from the elements: 143 meV/atom
# * offset from the most stable computed form: 0.130 eV/atom
# * total magnetic moment: 0.0 μB/cell
# * theoretical density: 1.9 g/cm3
# * space-group type: No. 186
# * total DFT energy (no corrections): -0.0648 hartree per atom
# * DOS at the Fermi energy: 12.78 states/eV/f.u.

=====

# Sr2Ca (PBE, relaxed)
data_Sr2Ca
_chemical_formula_sum 'Sr4 Ca2'
_cell_length_a 19.2161
_cell_length_b 19.2177
_cell_length_c 19.2177
_cell_angle_alpha 167.99
_cell_angle_beta 167.99
_cell_angle_gamma 17.02
_symmetry_space_group_name_H-M 'P 1'
_symmetry_Int_Tables_number 1
loop_
_symmetry_equiv_pos_as_xyz
'x,y,z'
loop_
_atom_site_label
_atom_site_type_symbol
_atom_site_fract_x
_atom_site_fract_y
_atom_site_fract_z
Sr1 Sr 0.4227 0.4228 0.0000
Ca1 Ca 0.7500 0.2500 0.5000
Sr2 Sr 0.5773 0.5773 0.0000
Sr3 Sr 0.1727 0.6727 0.5000
Sr4 Sr 0.3273 0.8272 0.5000
Ca2 Ca 0.0000 0.0000 0.0000
# * formation energy from the elements: 84 meV/atom
# * offset from the most stable computed form: 0.071 eV/atom
# * total magnetic moment: 0.0 μB/cell
# * theoretical density: 2.3 g/cm3
# * space-group type: No. 141
# * total DFT energy (no corrections): -0.0626 hartree per atom
# * DOS at the Fermi energy: 3.47 states/eV/f.u.

=====

# SrCa (PBE, relaxed)
data_SrCa
_chemical_formula_sum 'Sr2 Ca2'
_cell_length_a 7.9036
_cell_length_b 7.9036
_cell_length_c 6.4293
_cell_angle_alpha 90.00
_cell_angle_beta 90.00
_cell_angle_gamma 150.80
_symmetry_space_group_name_H-M 'P 1'
_symmetry_Int_Tables_number 1
loop_
_symmetry_equiv_pos_as_xyz
'x,y,z'
loop_
_atom_site_label
_atom_site_type_symbol
_atom_site_fract_x
_atom_site_fract_y
_atom_site_fract_z
Ca1 Ca 0.5642 0.4358 0.7500
Sr1 Sr 0.8264 0.1736 0.7500
Ca2 Ca 0.4358 0.5642 0.2500
Sr2 Sr 0.1736 0.8264 0.2500
# * formation energy from the elements: 43 meV/atom
# * offset from the most stable computed form: 0.029 eV/atom
# * total magnetic moment: 0.0 μB/cell
# * theoretical density: 2.2 g/cm3
# * space-group type: No. 63
# * total DFT energy (no corrections): -0.0661 hartree per atom
# * DOS at the Fermi energy: 3.11 states/eV/f.u.

=====

# SrCa4 (PBE, relaxed)
data_SrCa4
_chemical_formula_sum 'Sr4 Ca16'
_cell_length_a 7.4105
_cell_length_b 12.5782
_cell_length_c 12.5782
_cell_angle_alpha 90.00
_cell_angle_beta 90.00
_cell_angle_gamma 90.00
_symmetry_space_group_name_H-M 'P 1'
_symmetry_Int_Tables_number 1
loop_
_symmetry_equiv_pos_as_xyz
'x,y,z'
loop_
_atom_site_label
_atom_site_type_symbol
_atom_site_fract_x
_atom_site_fract_y
_atom_site_fract_z
Ca1 Ca 0.2228 0.5000 0.5000
Sr1 Sr 0.0000 0.2667 0.7667
Ca2 Ca 0.5000 0.1999 0.1048
Ca3 Ca 0.5000 0.1048 0.8001
Ca4 Ca 0.2228 0.0000 0.0000
Ca5 Ca 0.5000 0.6076 0.1076
Ca6 Ca 0.5000 0.3924 0.8924
Ca7 Ca 0.7772 0.0000 0.0000
Ca8 Ca 0.5000 0.8952 0.1999
Ca9 Ca 0.5000 0.8001 0.8952
Sr2 Sr 0.0000 0.2333 0.2667
Ca10 Ca 0.5000 0.8924 0.6076
Ca11 Ca 0.5000 0.6048 0.6999
Ca12 Ca 0.5000 0.3001 0.6048
Sr3 Sr 0.0000 0.7333 0.2333
Sr4 Sr 0.0000 0.7667 0.7333
Ca13 Ca 0.5000 0.6999 0.3952
Ca14 Ca 0.5000 0.3952 0.3001
Ca15 Ca 0.7772 0.5000 0.5000
Ca16 Ca 0.5000 0.1076 0.3924
# * formation energy from the elements: 446 meV/atom
# * offset from the most stable computed form: 0.319 eV/atom
# * total magnetic moment: 0.1 μB/cell
# * theoretical density: 1.4 g/cm3
# * space-group type: No. 127
# * total DFT energy (no corrections): -0.0548 hartree per atom
# * DOS at the Fermi energy: 8.54 states/eV/f.u.

=====

# SrCa (PBE, relaxed)
data_SrCa
_chemical_formula_sum 'Sr2 Ca2'
_cell_length_a 4.0990
_cell_length_b 6.7135
_cell_length_c 7.0140
_cell_angle_alpha 90.00
_cell_angle_beta 90.00
_cell_angle_gamma 90.00
_symmetry_space_group_name_H-M 'P 1'
_symmetry_Int_Tables_number 1
loop_
_symmetry_equiv_pos_as_xyz
'x,y,z'
loop_
_atom_site_label
_atom_site_type_symbol
_atom_site_fract_x
_atom_site_fract_y
_atom_site_fract_z
Ca1 Ca 0.5000 0.5000 0.8363
Sr1 Sr 0.5000 0.0000 0.5037
Sr2 Sr 0.0000 0.5000 0.3296
Ca2 Ca 0.0000 0.0000 0.9971
# * formation energy from the elements: 21 meV/atom
# * offset from the most stable computed form: 0.007 eV/atom
# * total magnetic moment: 0.0 μB/cell
# * theoretical density: 2.2 g/cm3
# * space-group type: No. 59
# * total DFT energy (no corrections): -0.0669 hartree per atom
# * DOS at the Fermi energy: 1.89 states/eV/f.u.

=====

# SrCa4 (PBE, relaxed)
data_SrCa4
_chemical_formula_sum 'Sr1 Ca4'
_cell_length_a 6.3355
_cell_length_b 6.3355
_cell_length_c 6.3355
_cell_angle_alpha 90.00
_cell_angle_beta 90.00
_cell_angle_gamma 90.00
_symmetry_space_group_name_H-M 'P 1'
_symmetry_Int_Tables_number 1
loop_
_symmetry_equiv_pos_as_xyz
'x,y,z'
loop_
_atom_site_label
_atom_site_type_symbol
_atom_site_fract_x
_atom_site_fract_y
_atom_site_fract_z
Ca1 Ca 0.0000 0.5000 0.5000
Ca2 Ca 0.0000 0.0000 0.0000
Ca3 Ca 0.5000 0.5000 0.0000
Ca4 Ca 0.5000 0.0000 0.5000
Sr1 Sr 0.5000 0.5000 0.5000
# * formation energy from the elements: 725 meV/atom
# * offset from the most stable computed form: 0.597 eV/atom
# * total magnetic moment: 2.8 μB/cell
# * theoretical density: 1.6 g/cm3
# * space-group type: No. 221
# * total DFT energy (no corrections): -0.0446 hartree per atom
# * DOS at the Fermi energy: 5.63 states/eV/f.u.

=====

# SrCa (PBE, relaxed)
data_SrCa
_chemical_formula_sum 'Sr2 Ca2'
_cell_length_a 3.9930
_cell_length_b 3.9930
_cell_length_c 14.2719
_cell_angle_alpha 90.00
_cell_angle_beta 90.00
_cell_angle_gamma 120.00
_symmetry_space_group_name_H-M 'P 1'
_symmetry_Int_Tables_number 1
loop_
_symmetry_equiv_pos_as_xyz
'x,y,z'
loop_
_atom_site_label
_atom_site_type_symbol
_atom_site_fract_x
_atom_site_fract_y
_atom_site_fract_z
Sr1 Sr 0.6667 0.3333 0.1744
Ca1 Ca 0.3333 0.6667 0.4076
Sr2 Sr 0.3333 0.6667 0.6744
Ca2 Ca 0.6667 0.3333 0.9076
# * formation energy from the elements: 138 meV/atom
# * offset from the most stable computed form: 0.124 eV/atom
# * total magnetic moment: 0.0 μB/cell
# * theoretical density: 2.2 g/cm3
# * space-group type: No. 186
# * total DFT energy (no corrections): -0.0626 hartree per atom
# * DOS at the Fermi energy: 2.84 states/eV/f.u.

=====

# Sr2Ca3 (PBE, relaxed)
data_Sr2Ca3
_chemical_formula_sum 'Sr4 Ca6'
_cell_length_a 7.0432
_cell_length_b 7.4075
_cell_length_c 10.5140
_cell_angle_alpha 110.63
_cell_angle_beta 109.57
_cell_angle_gamma 90.00
_symmetry_space_group_name_H-M 'P 1'
_symmetry_Int_Tables_number 1
loop_
_symmetry_equiv_pos_as_xyz
'x,y,z'
loop_
_atom_site_label
_atom_site_type_symbol
_atom_site_fract_x
_atom_site_fract_y
_atom_site_fract_z
Ca1 Ca 0.7500 0.0000 0.0000
Ca2 Ca 0.9086 0.5232 0.8172
Sr1 Sr 0.8106 0.9584 0.6212
Sr2 Sr 0.6894 0.3372 0.3788
Ca3 Ca 0.2500 0.0000 0.0000
Ca4 Ca 0.0914 0.4768 0.1828
Sr3 Sr 0.3106 0.6628 0.6212
Sr4 Sr 0.1894 0.0416 0.3788
Ca5 Ca 0.5914 0.7060 0.1828
Ca6 Ca 0.4086 0.2940 0.8172
# * formation energy from the elements: 77 meV/atom
# * offset from the most stable computed form: 0.032 eV/atom
# * total magnetic moment: 0.5 μB/cell
# * theoretical density: 2.0 g/cm3
# * space-group type: No. 72
# * total DFT energy (no corrections): -0.0660 hartree per atom
# * DOS at the Fermi energy: 8.20 states/eV/f.u.